## PmErSe2 (GGA-PBE)

Data for PmErSe2 after structural relaxation.

M_tot ... 0.00 μB per formula unit
Relative energy among the computed polymorphs ... 13 kJ/mol of formula units
Formation energy (no corrections) ... -167.7 kJ/mol of atoms
Energy ... -23.236 eV for the cell shown

Unit cell a=3.9854 b=3.9854 c=7.6166 alpha=74.83 beta=74.83 gamma=60.00
Closest atoms and distances in Å follow each position.
Fractional coordinates of all 4 atoms:
Er  0.4950  0.4950  0.5150  6 Se 2.83-2.96
Se  0.2472  0.2472  0.2584  3 Er 2.96, 3 Pm 3.04
Se  0.0862  0.0862  0.7415  3 Er 2.83, 3 Pm 2.90
Pm  0.6716  0.6716  0.9851  6 Se 2.90-3.04

=====

## Pm6ErSe8 (GGA-PBE)

Data for Pm6ErSe8 after structural relaxation.

M_tot ... 0.00 μB per formula unit
Formation energy (no corrections) ... -180.7 kJ/mol of atoms
Energy ... -89.034 eV for the cell shown

Unit cell a=8.3525 b=8.3525 c=8.3525 alpha=60.00 beta=60.00 gamma=60.00
Closest atoms and distances in Å follow each position.
Fractional coordinates of all 15 atoms:
Er  0.0000  0.0000  0.0000  6 Se 2.90
Se  0.7542  0.7542  0.2458  1 Er 2.90, 4 Pm 2.95
Se  0.2458  0.7542  0.2458  1 Er 2.90, 4 Pm 2.95
Se  0.2500  0.2500  0.2500  6 Pm 2.95
Se  0.7500  0.7500  0.7500  6 Pm 2.95
Se  0.7542  0.2458  0.7542  1 Er 2.90, 4 Pm 2.95
Se  0.2458  0.2458  0.7542  1 Er 2.90, 4 Pm 2.95
Se  0.2458  0.7542  0.7542  1 Er 2.90, 4 Pm 2.95
Se  0.7542  0.2458  0.2458  1 Er 2.90, 4 Pm 2.95
Pm  0.5000  0.0000  0.5000  6 Se 2.95
Pm  0.0000  0.0000  0.5000  6 Se 2.95
Pm  0.0000  0.5000  0.0000  6 Se 2.95
Pm  0.0000  0.5000  0.5000  6 Se 2.95
Pm  0.5000  0.5000  0.0000  6 Se 2.95
Pm  0.5000  0.0000  0.0000  6 Se 2.95

=====

## Pm5Er3Se8 (GGA-PBE)

Data for Pm5Er3Se8 after structural relaxation.

M_tot ... 0.00 μB per formula unit
Formation energy (no corrections) ... -171.7 kJ/mol of atoms
Energy ... -93.785 eV for the cell shown

Unit cell a=8.2234 b=8.2234 c=8.3344 alpha=60.44 beta=60.44 gamma=60.00
Closest atoms and distances in Å follow each position.
Fractional coordinates of all 16 atoms:
Pm  0.5000  0.5000  0.0000  6 Se 2.99
Pm  0.0000  0.5000  0.0000  6 Se 2.99
Pm  0.5000  0.5000  0.5000  6 Se 2.93
Pm  0.5000  0.0000  0.0000  6 Se 2.99
Pm  0.0000  0.0000  0.0000  6 Se 2.93
Se  0.7607  0.2501  0.7390  2 Er 2.86, 4 Pm 2.93-2.99
Se  0.2447  0.2447  0.2659  3 Er 2.86, 3 Pm 2.99
Se  0.2501  0.7607  0.7390  2 Er 2.86, 4 Pm 2.93-2.99
Se  0.7499  0.2393  0.2610  2 Er 2.86, 4 Pm 2.93-2.99
Se  0.2501  0.2501  0.7390  2 Er 2.86, 4 Pm 2.93-2.99
Se  0.2393  0.7499  0.2610  2 Er 2.86, 4 Pm 2.93-2.99
Se  0.7499  0.7499  0.2610  2 Er 2.86, 4 Pm 2.93-2.99
Se  0.7553  0.7553  0.7341  3 Er 2.86, 3 Pm 2.99
Er  0.5000  0.0000  0.5000  6 Se 2.86
Er  0.0000  0.5000  0.5000  6 Se 2.86
Er  0.0000  0.0000  0.5000  6 Se 2.86

=====

## PmEr6Se8 (GGA-PBE)

Data for PmEr6Se8 after structural relaxation.

M_tot ... 0.21 μB per formula unit
Relative energy among the computed polymorphs ... 481 kJ/mol of formula units
Formation energy (no corrections) ... -141.1 kJ/mol of atoms
Energy ... -81.942 eV for the cell shown

Unit cell a=7.6155 b=7.6155 c=7.6155 alpha=92.12 beta=92.12 gamma=92.12
Closest atoms and distances in Å follow each position.
Fractional coordinates of all 15 atoms:
Se  0.2652  0.6356  0.8625  4 Er 2.76-3.03
Se  0.6356  0.8625  0.2652  4 Er 2.76-3.03
Se  0.7665  0.7665  0.7665  3 Er 2.82, 1 Pm 2.96
Se  0.8625  0.2652  0.6356  4 Er 2.76-3.03
Se  0.2335  0.2335  0.2335  3 Er 2.82, 1 Pm 2.96
Se  0.1375  0.7348  0.3644  4 Er 2.76-3.03
Se  0.7348  0.3644  0.1375  4 Er 2.76-3.03
Se  0.3644  0.1375  0.7348  4 Er 2.76-3.03
Er  0.4357  0.8092  0.5968  5 Se 2.76-3.03
Er  0.5968  0.4357  0.8092  5 Se 2.76-3.03
Er  0.4032  0.5643  0.1908  5 Se 2.76-3.03
Er  0.5643  0.1908  0.4032  5 Se 2.76-3.03
Er  0.1908  0.4032  0.5643  5 Se 2.76-3.03
Er  0.8092  0.5968  0.4357  5 Se 2.76-3.03
Pm  0.0000  0.0000  0.0000  2 Se 2.96

=====

## Pm2Er2Se5 (GGA-PBE)

Data for Pm2Er2Se5 after structural relaxation.

M_tot ... 0.00 μB per formula unit
Relative energy among the computed polymorphs ... 0 kJ/mol of formula units
Formation energy (no corrections) ... -167.4 kJ/mol of atoms
Energy ... -103.323 eV for the cell shown

Unit cell a=7.6896 b=8.3409 c=8.3409 alpha=124.70 beta=90.00 gamma=90.00
Closest atoms and distances in Å follow each position.
Fractional coordinates of all 18 atoms:
Er  0.1562  0.6511  0.6511  8 Se 2.87-3.12
Er  0.3438  0.1511  0.1511  8 Se 2.87-3.12
Er  0.8438  0.3489  0.3489  8 Se 2.87-3.12
Er  0.6562  0.8489  0.8489  8 Se 2.87-3.12
Se  0.1544  0.2061  0.4761  3 Er 2.87-3.12, 3 Pm 3.01-3.07
Se  0.1544  0.4761  0.2061  3 Er 2.87-3.12, 3 Pm 3.01-3.07
Se  0.6544  0.0239  0.2939  3 Er 2.87-3.12, 3 Pm 3.01-3.07
Se  0.0000  0.0000  0.0000  4 Er 2.89-2.96, 2 Pm 2.92
Se  0.5000  0.5000  0.5000  4 Er 2.89-2.96, 2 Pm 2.92
Se  0.3456  0.9761  0.7061  3 Er 2.87-3.12, 3 Pm 3.01-3.07
Se  0.3456  0.7061  0.9761  3 Er 2.87-3.12, 3 Pm 3.01-3.07
Se  0.8456  0.7939  0.5239  3 Er 2.87-3.12, 3 Pm 3.01-3.07
Se  0.8456  0.5239  0.7939  3 Er 2.87-3.12, 3 Pm 3.01-3.07
Se  0.6544  0.2939  0.0239  3 Er 2.87-3.12, 3 Pm 3.01-3.07
Pm  0.0000  0.1978  0.8022  7 Se 2.92-3.07
Pm  0.5000  0.3022  0.6978  7 Se 2.92-3.07
Pm  0.5000  0.6978  0.3022  7 Se 2.92-3.07
Pm  0.0000  0.8022  0.1978  7 Se 2.92-3.07

=====

## Pm2Er2Se5 (GGA-PBE)

Data for Pm2Er2Se5 after structural relaxation.

M_tot ... 0.00 μB per formula unit
Relative energy among the computed polymorphs ... 88 kJ/mol of formula units
Formation energy (no corrections) ... -157.6 kJ/mol of atoms
Energy ... -101.504 eV for the cell shown

Unit cell a=8.2400 b=7.1108 c=10.4566 alpha=109.88 beta=113.20 gamma=90.00
Closest atoms and distances in Å follow each position.
Fractional coordinates of all 18 atoms:
Se  0.1771  0.2443  0.9349  2 Er 2.80-2.85, 2 Pm 3.04-3.05
Se  0.2529  0.0513  0.2935  2 Er 2.71-2.81, 2 Pm 2.94-2.96
Se  0.8229  0.3095  0.0651  2 Er 2.80-2.85, 2 Pm 3.04-3.05
Se  0.7471  0.7578  0.7065  2 Er 2.71-2.81, 2 Pm 2.94-2.96
Se  0.8261  0.1768  0.5000  2 Er 2.75-2.77
Se  0.2578  0.7443  0.9349  2 Er 2.80-2.85, 2 Pm 3.04-3.05
Se  0.4594  0.2578  0.7065  2 Er 2.71-2.81, 2 Pm 2.94-2.96
Se  0.1739  0.6768  0.5000  2 Er 2.75-2.77
Se  0.5406  0.5513  0.2935  2 Er 2.71-2.81, 2 Pm 2.94-2.96
Se  0.7422  0.8095  0.0651  2 Er 2.80-2.85, 2 Pm 3.04-3.05
Er  0.8533  0.7915  0.5000  4 Se 2.71-2.77
Er  0.0000  0.9781  0.0000  6 Se 2.80-2.85
Er  0.5000  0.4781  0.0000  6 Se 2.80-2.85
Er  0.1467  0.2915  0.5000  4 Se 2.71-2.77
Pm  0.4762  0.9198  0.8131  5 Se 2.94-3.10
Pm  0.8369  0.4198  0.8131  5 Se 2.94-3.10
Pm  0.5238  0.1067  0.1869  5 Se 2.94-3.10
Pm  0.1631  0.6067  0.1869  5 Se 2.94-3.10

=====

## Pm4ErSe5 (GGA-PBE)

Data for Pm4ErSe5 after structural relaxation.

M_tot ... 0.00 μB per formula unit
Relative energy among the computed polymorphs ... 0 kJ/mol of formula units
Formation energy (no corrections) ... -174.3 kJ/mol of atoms
Energy ... -59.050 eV for the cell shown

Unit cell a=4.1647 b=4.1647 c=17.1797 alpha=83.04 beta=83.04 gamma=60.00
Closest atoms and distances in Å follow each position.
Fractional coordinates of all 10 atoms:
Se  0.4011  0.4011  0.7967  6 Pm 2.95-2.96
Se  0.0000  0.0000  0.0000  6 Pm 2.97
Se  0.1973  0.1973  0.4081  3 Er 2.87, 3 Pm 2.99
Se  0.8027  0.8027  0.5919  3 Er 2.87, 3 Pm 2.99
Se  0.5989  0.5989  0.2033  6 Pm 2.95-2.96
Pm  0.8987  0.8987  0.3039  6 Se 2.95-2.99
Pm  0.1013  0.1013  0.6961  6 Se 2.95-2.99
Pm  0.2993  0.2993  0.1020  6 Se 2.96-2.97
Pm  0.7007  0.7007  0.8980  6 Se 2.96-2.97
Er  0.5000  0.5000  0.5000  6 Se 2.87

=====

## PmErSe2 (GGA-PBE)

Data for PmErSe2 after structural relaxation.

M_tot ... 0.00 μB per formula unit
Relative energy among the computed polymorphs ... 0 kJ/mol of formula units
Formation energy (no corrections) ... -170.9 kJ/mol of atoms
Energy ... -23.368 eV for the cell shown

Unit cell a=4.0799 b=4.0799 c=7.2426 alpha=73.64 beta=73.64 gamma=60.00
Closest atoms and distances in Å follow each position.
Fractional coordinates of all 4 atoms:
Se  0.7448  0.7448  0.7657  3 Er 2.85, 3 Pm 2.98
Se  0.2552  0.2552  0.2343  3 Er 2.85, 3 Pm 2.98
Pm  0.5000  0.5000  0.5000  6 Se 2.98
Er  0.0000  0.0000  0.0000  6 Se 2.85

=====

## Pm4ErSe5 (GGA-PBE)

Data for Pm4ErSe5 after structural relaxation.

M_tot ... 0.00 μB per formula unit
Relative energy among the computed polymorphs ... 5 kJ/mol of formula units
Formation energy (no corrections) ... -173.8 kJ/mol of atoms
Energy ... -59.000 eV for the cell shown

Unit cell a=4.1580 b=4.1580 c=15.0913 alpha=97.92 beta=97.92 gamma=90.00
Closest atoms and distances in Å follow each position.
Fractional coordinates of all 10 atoms:
Se  0.0955  0.0955  0.1910  1 Er 2.83, 5 Pm 2.95
Se  0.2972  0.2972  0.5944  6 Pm 2.95-3.03
Se  0.5000  0.5000  0.0000  4 Er 2.94, 2 Pm 3.02
Se  0.9045  0.9045  0.8090  1 Er 2.83, 5 Pm 2.95
Se  0.7028  0.7028  0.4056  6 Pm 2.95-3.03
Er  0.0000  0.0000  0.0000  6 Se 2.83-2.94
Pm  0.8050  0.8050  0.6100  6 Se 2.95-3.03
Pm  0.3979  0.3979  0.7958  6 Se 2.95-3.02
Pm  0.6021  0.6021  0.2042  6 Se 2.95-3.02
Pm  0.1950  0.1950  0.3900  6 Se 2.95-3.03

=====

## PmErSe (GGA-PBE)

Data for PmErSe after structural relaxation.

M_tot ... 0.02 μB per formula unit
Formation energy (no corrections) ... -105.8 kJ/mol of atoms
Energy ... -16.088 eV for the cell shown

Unit cell a=6.6289 b=3.8865 c=3.8865 alpha=120.00 beta=90.00 gamma=90.00
Closest atoms and distances in Å follow each position.
Fractional coordinates of all 3 atoms:
Er  0.2744  0.3333  0.6667  3 Se 2.86
Se  0.0079  0.0000  0.0000  3 Er 2.86, 3 Pm 2.96
Pm  0.7176  0.6667  0.3333  3 Se 2.96

=====

## PmEr4Se5 (GGA-PBE)

Data for PmEr4Se5 after structural relaxation.

M_tot ... 0.00 μB per formula unit
Relative energy among the computed polymorphs ... 0 kJ/mol of formula units
Formation energy (no corrections) ... -166.1 kJ/mol of atoms
Energy ... -57.644 eV for the cell shown

Unit cell a=4.0645 b=4.0645 c=16.8164 alpha=83.06 beta=83.06 gamma=60.00
Closest atoms and distances in Å follow each position.
Fractional coordinates of all 10 atoms:
Pm  0.5000  0.5000  0.5000  6 Se 2.97
Se  0.6013  0.6013  0.1960  6 Er 2.86-2.87
Se  0.3987  0.3987  0.8040  6 Er 2.86-2.87
Se  0.2030  0.2030  0.3909  3 Er 2.84, 3 Pm 2.97
Se  0.7970  0.7970  0.6091  3 Er 2.84, 3 Pm 2.97
Se  0.0000  0.0000  0.0000  6 Er 2.85
Er  0.6991  0.6991  0.9026  6 Se 2.85-2.86
Er  0.0984  0.0984  0.7048  6 Se 2.84-2.87
Er  0.9016  0.9016  0.2952  6 Se 2.84-2.87
Er  0.3009  0.3009  0.0974  6 Se 2.85-2.86

=====

## PmEr3Se6 (GGA-PBE)

Data for PmEr3Se6 after structural relaxation.

M_tot ... 0.00 μB per formula unit
Formation energy (no corrections) ... -181.3 kJ/mol of atoms
Energy ... -116.274 eV for the cell shown

Unit cell a=4.1070 b=11.5500 c=11.8319 alpha=109.17 beta=90.00 gamma=90.00
Closest atoms and distances in Å follow each position.
Fractional coordinates of all 20 atoms:
Se  0.2500  0.5201  0.3858  4 Er 2.79-3.05
Se  0.7500  0.1161  0.4654  3 Pm 3.00-3.08, 2 Er 3.04
Se  0.2500  0.0832  0.9049  3 Er 2.84-2.88, 2 Pm 3.14
Se  0.7500  0.9168  0.0951  3 Er 2.84-2.88, 2 Pm 3.14
Se  0.2500  0.6062  0.9402  4 Er 2.82-2.88
Se  0.7500  0.8037  0.7498  3 Er 2.77-2.82, 1 Pm 3.08
Se  0.2500  0.2601  0.7260  3 Er 2.88-2.97, 2 Pm 3.14
Se  0.7500  0.4799  0.6142  4 Er 2.79-3.05
Se  0.2500  0.8839  0.5346  3 Pm 3.00-3.08, 2 Er 3.04
Se  0.7500  0.7399  0.2740  3 Er 2.88-2.97, 2 Pm 3.14
Se  0.2500  0.1963  0.2502  3 Er 2.77-2.82, 1 Pm 3.08
Se  0.7500  0.3938  0.0598  4 Er 2.82-2.88
Pm  0.7500  0.0467  0.6952  8 Se 3.00-3.14
Pm  0.2500  0.9533  0.3048  8 Se 3.00-3.14
Er  0.7500  0.6815  0.5005  7 Se 2.81-3.05
Er  0.7500  0.1592  0.0853  6 Se 2.77-2.88
Er  0.7500  0.4374  0.8333  6 Se 2.79-2.88
Er  0.2500  0.3185  0.4995  7 Se 2.81-3.05
Er  0.2500  0.8408  0.9147  6 Se 2.77-2.88
Er  0.2500  0.5626  0.1667  6 Se 2.79-2.88